## Ga2TcOs (PBEsol)

Data for an optimized crystal structure of Ga2TcOs.

## Properties
Formation energy, meV/atom: 15
Total moment, μB/f.u.: 0.00
Density, Mg/m³: 12.94

Cell: 6.0330 6.0330 6.0330 Å, 90.00 90.00 90.00°
Space group Fm-3m (No. 225)
Inequivalent atoms, fractional coordinates:
Ga (0.2500, 0.2500, 0.2500) [8 per cell]
Tc (0.0000, 0.0000, 0.0000) [4 per cell]
Os (0.0000, 0.0000, 0.5000) [4 per cell]

## SiTeIr2 (PBEsol)

Data for an optimized crystal structure of SiTeIr2.

## Properties
Excess energy over the best structure of this formula in the dataset, eV per formula unit: 0.58
Total moment, μB/f.u.: 0.00
Density, Mg/m³: 13.37
Raw formation energy, eV/atom: -0.10

Cell: 7.1151 2.9772 6.4249 Å, 90.00 99.71 90.00°
Space group C2/m (No. 12)
Inequivalent atoms, fractional coordinates:
Si (0.0000, 0.0000, 0.0000) [2 per cell]
Te (0.0000, 0.5000, 0.5000) [2 per cell]
Ir (0.2345, 0.5000, 0.1893) [4 per cell]